#A
# PBE Tb12Pm6Sm, optimized geometry
data_Tb12Pm6Sm
_chemical_formula_sum 'Tb12 Pm6 Sm1'
_cell_length_a 8.6080
_cell_length_b 8.6080
_cell_length_c 8.6080
_cell_angle_alpha 91.50
_cell_angle_beta 91.50
_cell_angle_gamma 91.50
_space_group_name_H-M_alt 'P 1'
_space_group_IT_number 1
loop_
_space_group_symop_operation_xyz
'x,y,z'
loop_
_atom_site_label
_atom_site_fract_x
_atom_site_fract_y
_atom_site_fract_z
Tb1 0.0275 0.9676 0.2920
Tb2 0.0324 0.7080 0.9725
Tb3 0.1191 0.4318 0.3597
Tb4 0.2920 0.0275 0.9676
Tb5 0.3597 0.1191 0.4318
Tb6 0.4318 0.3597 0.1191
Tb7 0.5682 0.6403 0.8809
Tb8 0.6403 0.8809 0.5682
Tb9 0.7080 0.9725 0.0324
Tb10 0.8809 0.5682 0.6403
Tb11 0.9676 0.2920 0.0275
Tb12 0.9725 0.0324 0.7080
Pm1 0.2254 0.3628 0.7540
Pm2 0.2460 0.7746 0.6372
Pm3 0.3628 0.7540 0.2254
Pm4 0.6372 0.2460 0.7746
Pm5 0.7540 0.2254 0.3628
Pm6 0.7746 0.6372 0.2460
Sm1 0.5000 0.5000 0.5000
# **Spin magnetization**: 0.0 μB per formula unit

#B
# PBE Tb12Pm6Sm, optimized geometry
data_Tb12Pm6Sm
_chemical_formula_sum 'Tb12 Pm6 Sm1'
_cell_length_a 8.7684
_cell_length_b 8.7684
_cell_length_c 8.7684
_cell_angle_alpha 98.73
_cell_angle_beta 98.73
_cell_angle_gamma 98.73
_space_group_name_H-M_alt 'P 1'
_space_group_IT_number 1
loop_
_space_group_symop_operation_xyz
'x,y,z'
loop_
_atom_site_label
_atom_site_fract_x
_atom_site_fract_y
_atom_site_fract_z
Tb1 0.0000 0.2579 0.7421
Tb2 0.0000 0.7421 0.2579
Tb3 0.1440 0.1440 0.4175
Tb4 0.1440 0.4175 0.1440
Tb5 0.2579 0.0000 0.7421
Tb6 0.2579 0.7421 0.0000
Tb7 0.4175 0.1440 0.1440
Tb8 0.5825 0.8560 0.8560
Tb9 0.7421 0.0000 0.2579
Tb10 0.7421 0.2579 0.0000
Tb11 0.8560 0.5825 0.8560
Tb12 0.8560 0.8560 0.5825
Pm1 0.1563 0.5971 0.5971
Pm2 0.4029 0.4029 0.8437
Pm3 0.4029 0.8437 0.4029
Pm4 0.5971 0.1563 0.5971
Pm5 0.5971 0.5971 0.1563
Pm6 0.8437 0.4029 0.4029
Sm1 0.5000 0.5000 0.5000
# **Spin magnetization**: 0.0 μB per formula unit

Which one is the most stable? From the structures above, #A.